Entry 1:
This record from Alexandria describes a relaxed structure of YMnIr2. The functional is PBE.

Output
Formation energy = 0.352 eV per atom
N(E_F) = 5.18 states/eV per cell
Total magnetic moment = 2.7 μB per cell
Volume = 17.001 Å³/atom
Energy = -31.9 eV/cell

Cell: 9.4675 9.4675 9.4675 Å, 17.64 17.64 17.64°
With the nearest neighbours (Å) after each atom.
Positions (direct):
Y (0.0000, 0.0000, 0.0000)  6 Y 2.90, 3 Ir 2.99, 3 Mn 3.14
Mn (0.7617, 0.7617, 0.7617)  3 Ir 2.58
Ir (0.2447, 0.2447, 0.2447)  9 Ir 2.78-2.90, 3 Y 2.99
Ir (0.4986, 0.4986, 0.4986)  3 Mn 2.58, 3 Ir 2.78

---

Entry 2:
This record from Alexandria describes a relaxed structure of LaTcO2F. The functional is PBE.

Output
N(E_F) = 3.54 states/eV per cell
Total magnetic moment = 0.0 μB per cell
Raw formation energy = -1874 meV/atom
Volume = 13.525 Å³/atom
Energy = -36.5 eV/cell

Cell: 4.0741 4.0741 4.0740 Å, 90.00 90.00 90.00°
With the nearest neighbours (Å) after each atom.
Positions (direct):
La (0.0000, 0.0000, 0.0000)  8 O 2.88, 4 F 2.88
Tc (0.5000, 0.5000, 0.5000)  2 F 2.04, 4 O 2.04
O (0.0000, 0.5000, 0.5000)  2 Tc 2.04
O (0.5000, 0.0000, 0.5000)  2 Tc 2.04
F (0.5000, 0.5000, 0.0000)  2 Tc 2.04

---

Entry 3:
This record from Alexandria describes a relaxed structure of MnPdCl5. The functional is PBE.

Output
N(E_F) = 3.83 states/eV per cell
Total magnetic moment = 7.9 μB per cell
Raw formation energy = -606 meV/atom
Volume = 24.995 Å³/atom
Energy = -55.7 eV/cell

Cell: 6.4929 6.4994 9.3823 Å, 100.39 101.61 110.33°
With the nearest neighbours (Å) after each atom.
Positions (direct):
Mn (0.0000, 0.0000, 0.0000)  6 Cl 2.32-2.60
Mn (0.0000, 0.0000, 0.5000)  6 Cl 2.31-2.39
Pd (0.3454, 0.6412, 0.2462)  4 Cl 2.34-2.38
Pd (0.6546, 0.3588, 0.7538)  4 Cl 2.34-2.38
Cl (0.0682, 0.9323, 0.7350)  1 Mn 2.31
Cl (0.1997, 0.7719, 0.0437)  1 Mn 2.32, 1 Pd 2.38
Cl (0.2300, 0.7975, 0.4450)  1 Pd 2.34, 1 Mn 2.38
Cl (0.3311, 0.3523, 0.5840)  1 Pd 2.35, 1 Mn 2.39
Cl (0.3506, 0.3222, 0.0819)  1 Mn 2.36, 1 Pd 2.37
Cl (0.6494, 0.6778, 0.9181)  1 Mn 2.36, 1 Pd 2.37
Cl (0.6689, 0.6477, 0.4160)  1 Pd 2.35, 1 Mn 2.39
Cl (0.7700, 0.2025, 0.5550)  1 Pd 2.34, 1 Mn 2.38
Cl (0.8003, 0.2281, 0.9563)  1 Mn 2.32, 1 Pd 2.38
Cl (0.9318, 0.0677, 0.2650)  1 Mn 2.31